This record from the Alexandria database describes Re2SeCl after structural relaxation. The functional is GGA-PBE.

Calculated values
For the formation energy from raw total energies, the calculation gives 2.065 eV per formula unit. The energy above the lowest structure with this stoichiometry comes out at 2.13 eV per formula unit. As for the total energy: -28.16 eV/f.u.

abc: 2.9421 2.9421 9.9951
angles: 90.00 90.00 120.33
With the nearest neighbours (Å) after each atom.
Fractional coordinates of all 4 atoms:
1 Re 0.0000 0.0000 0.0000  2 Cl 2.50, 2 Re 2.58
2 Re 0.5000 0.5000 0.2129  2 Re 2.58, 2 Se 2.64
3 Se 0.0000 0.0000 0.4330  2 Re 2.64, 6 Se 2.93-2.94
4 Cl 0.5000 0.5000 0.7967  2 Re 2.50

This record from the Alexandria database describes Ho2InCu12Ni3 after structural relaxation. The functional is GGA-PBE.

Calculated values
The formation enthalpy at 0 K comes out at 0.043 eV/atom. As for the total energy: -77.61 eV/f.u.

abc: 6.4226 6.4226 6.4226
angles: 83.42 83.42 83.42
With the nearest neighbours (Å) after each atom.
Fractional coordinates of all 18 atoms:
1 Ho 0.2405 0.2405 0.2405  3 Ni 2.72, 6 Cu 2.80-2.83
2 Ho 0.7595 0.7595 0.7595  3 Ni 2.72, 6 Cu 2.80-2.83
3 In 0.5000 0.5000 0.5000  6 Cu 2.51
4 Cu 0.0802 0.0802 0.6434  6 Cu 2.41-2.69
5 Cu 0.0802 0.6434 0.0802  6 Cu 2.41-2.69
6 Cu 0.2055 0.7046 0.7046  5 Cu 2.41-2.64, 1 In 2.51, 1 Ni 2.53
7 Cu 0.2954 0.2954 0.7945  5 Cu 2.41-2.64, 1 In 2.51, 1 Ni 2.53
8 Cu 0.2954 0.7945 0.2954  5 Cu 2.41-2.64, 1 In 2.51, 1 Ni 2.53
9 Cu 0.3566 0.9198 0.9198  6 Cu 2.41-2.69
10 Cu 0.6434 0.0802 0.0802  6 Cu 2.41-2.69
11 Cu 0.7046 0.2055 0.7046  5 Cu 2.41-2.64, 1 In 2.51, 1 Ni 2.53
12 Cu 0.7046 0.7046 0.2055  5 Cu 2.41-2.64, 1 In 2.51, 1 Ni 2.53
13 Cu 0.7945 0.2954 0.2954  5 Cu 2.41-2.64, 1 In 2.51, 1 Ni 2.53
14 Cu 0.9198 0.3566 0.9198  6 Cu 2.41-2.69
15 Cu 0.9198 0.9198 0.3566  6 Cu 2.41-2.69
16 Ni 0.0000 0.5000 0.5000  6 Cu 2.53-2.76, 2 Ho 2.72
17 Ni 0.5000 0.0000 0.5000  6 Cu 2.53-2.76, 2 Ho 2.72
18 Ni 0.5000 0.5000 0.0000  6 Cu 2.53-2.76, 2 Ho 2.72

This record from the Alexandria database describes Be2TlP after structural relaxation. The functional is GGA-PBE.

Calculated values
The formation enthalpy at 0 K comes out at 0.511 eV/atom. The energy above the lowest structure with this stoichiometry comes out at 1.31 eV per formula unit. As for the total energy: -13.18 eV/f.u.

abc: 3.4613 3.4613 6.8021
angles: 90.00 90.00 119.01
With the nearest neighbours (Å) after each atom.
Fractional coordinates of all 4 atoms:
1 Be 0.0000 0.0000 0.1725  2 P 2.11, 1 Be 2.35
2 Be 0.0000 0.0000 0.8275  2 P 2.11, 1 Be 2.35
3 Tl 0.5000 0.5000 0.5000  4 Be 2.84
4 P 0.5000 0.5000 0.0000  4 Be 2.11

This record from the Alexandria database describes MgTl14Sn after structural relaxation. The functional is GGA-PBE.

Calculated values
The formation enthalpy at 0 K comes out at 0.015 eV/atom. As for the total energy: -38.48 eV/f.u.

abc: 11.3361 6.9706 6.9706
angles: 59.93 90.00 90.00
With the nearest neighbours (Å) after each atom.
Fractional coordinates of all 16 atoms:
1 Mg 0.0000 0.0000 0.0000  10 Tl 3.36-3.55, 2 Sn 3.48
2 Tl 0.0000 0.4938 0.9946  2 Sn 3.38-3.59, 8 Tl 3.41-3.49, 2 Mg 3.42-3.55
3 Tl 0.0000 0.9946 0.4938  2 Sn 3.38-3.59, 8 Tl 3.41-3.49, 2 Mg 3.42-3.55
4 Tl 0.2379 0.1662 0.6678  1 Mg 3.36, 1 Sn 3.38, 10 Tl 3.41-3.59
5 Tl 0.2379 0.6678 0.1662  1 Mg 3.36, 1 Sn 3.38, 10 Tl 3.41-3.59
6 Tl 0.2473 0.1655 0.1655  11 Tl 3.43-3.51, 1 Mg 3.44
7 Tl 0.2508 0.6663 0.6663  1 Sn 3.45, 11 Tl 3.47-3.50
8 Tl 0.5000 0.3309 0.8324  12 Tl 3.42-3.58
9 Tl 0.5000 0.3324 0.3324  12 Tl 3.48-3.59
10 Tl 0.5000 0.8324 0.3309  12 Tl 3.42-3.58
11 Tl 0.5000 0.8375 0.8375  12 Tl 3.42-3.57
12 Tl 0.7492 0.6663 0.6663  1 Sn 3.45, 11 Tl 3.47-3.50
13 Tl 0.7527 0.1655 0.1655  11 Tl 3.43-3.51, 1 Mg 3.44
14 Tl 0.7621 0.1662 0.6678  1 Mg 3.36, 1 Sn 3.38, 10 Tl 3.41-3.59
15 Tl 0.7621 0.6678 0.1662  1 Mg 3.36, 1 Sn 3.38, 10 Tl 3.41-3.59
16 Sn 0.0000 0.5041 0.5041  10 Tl 3.38-3.59, 2 Mg 3.48

This record from the Alexandria database describes RbHgPbCl2 after structural relaxation. The functional is GGA-PBE.

Calculated values
For the formation energy from raw total energies, the calculation gives -2.630 eV per formula unit. As for the total energy: -11.30 eV/f.u.

abc: 5.8208 5.8208 10.9952
angles: 90.00 90.00 90.00
With the nearest neighbours (Å) after each atom.
Fractional coordinates of all 5 atoms:
1 Rb 0.0000 0.0000 0.0000  4 Hg 4.12
2 Hg 0.5000 0.5000 0.0000  4 Rb 4.12
3 Pb 0.0000 0.0000 0.5000  4 Cl 2.91
4 Cl 0.0000 0.5000 0.5000  2 Pb 2.91
5 Cl 0.5000 0.0000 0.5000  2 Pb 2.91

This record from the Alexandria database describes TmPuTh2 after structural relaxation. The functional is GGA-PBE.

Calculated values
The formation enthalpy at 0 K comes out at 0.094 eV/atom. The energy above the lowest structure with this stoichiometry comes out at 0.04 eV per formula unit. As for the total energy: -33.27 eV/f.u.

abc: 3.5366 3.5366 9.5897
angles: 90.00 90.00 90.00
With the nearest neighbours (Å) after each atom.
Fractional coordinates of all 4 atoms:
1 Tm 0.0000 0.0000 0.0000  8 Th 3.53, 4 Tm 3.54
2 Pu 0.0000 0.0000 0.5000  8 Th 3.40, 4 Pu 3.54
3 Th 0.5000 0.5000 0.2602  4 Pu 3.40, 4 Tm 3.53, 4 Th 3.54
4 Th 0.5000 0.5000 0.7398  4 Pu 3.40, 4 Tm 3.53, 4 Th 3.54

This record from the Alexandria database describes Mg2ZrPb after structural relaxation. The functional is GGA-PBE.

Calculated values
The formation enthalpy at 0 K comes out at -0.070 eV/atom. As for the total energy: -15.73 eV/f.u.

abc: 5.3468 3.2472 5.7037
angles: 90.00 109.60 90.00
With the nearest neighbours (Å) after each atom.
Fractional coordinates of all 4 atoms:
1 Mg 0.0000 0.0000 0.0000  6 Mg 3.13-3.25, 2 Pb 3.19, 4 Zr 3.28
2 Mg 0.5000 0.5000 0.0000  6 Mg 3.13-3.25, 2 Zr 3.19, 4 Pb 3.28
3 Zr 0.0000 0.5000 0.5000  4 Pb 3.13, 6 Mg 3.19-3.28, 2 Zr 3.25
4 Pb 0.5000 0.0000 0.5000  4 Zr 3.13, 6 Mg 3.19-3.28, 2 Pb 3.25

This record from the Alexandria database describes LiPdI4 after structural relaxation. The functional is GGA-PBE.

Calculated values
For the formation energy from raw total energies, the calculation gives -2.709 eV per formula unit. As for the total energy: -16.02 eV/f.u.

abc: 7.0696 4.1215 7.1394
angles: 90.00 106.88 90.00
With the nearest neighbours (Å) after each atom.
Fractional coordinates of all 6 atoms:
1 Li 0.0000 0.0000 0.0000  6 I 2.91-2.92
2 Pd 0.5000 0.5000 0.0000  6 I 2.72-2.82
3 I 0.2550 0.5000 0.2318  1 Pd 2.72, 2 Li 2.92
4 I 0.2777 0.0000 0.7694  2 Pd 2.82, 1 Li 2.91
5 I 0.7223 0.0000 0.2306  2 Pd 2.82, 1 Li 2.91
6 I 0.7450 0.5000 0.7682  1 Pd 2.72, 2 Li 2.92

Question: What is the formula in the third record?
Answer: Be2TlP